1.
Cr2CdIr after structural relaxation. Source: Alexandria, functional PBE.

Unit cell a=2.7094 b=2.7094 c=7.9121 alpha=90.00 beta=90.00 gamma=90.00
Sites, in units of the cell vectors:
Cr 0.0000 0.0000 0.2254
Cr 0.0000 0.0000 0.7746
Cd 0.5000 0.5000 0.5000
Ir 0.5000 0.5000 0.0000

Results
formation energy from the elements	1.043	eV per formula unit
V	14.52	Å³ per atom
calculated density	11.682	g/cm3
N(E_F)	3.25	states/eV/f.u.

---

2.
Cr2CdIr after structural relaxation. Source: Alexandria, functional PBE.

Unit cell a=4.8756 b=4.8756 c=4.7325 alpha=106.56 beta=106.56 gamma=34.22
Sites, in units of the cell vectors:
Cr 0.0000 0.0000 0.0000
Cr 0.7141 0.7141 0.2276
Cd 0.4869 0.4869 0.4950
Ir 0.2601 0.2601 0.7978

Results
formation energy from the elements	0.961	eV per formula unit
V	15.10	Å³ per atom
calculated density	11.238	g/cm3
N(E_F)	2.87	states/eV/f.u.

---

3.
Cr2CdIr after structural relaxation. Source: Alexandria, functional PBE.

Unit cell a=9.1762 b=9.1762 c=9.1762 alpha=17.09 beta=17.09 gamma=17.09
Sites, in units of the cell vectors:
Cr 0.2433 0.2433 0.2433
Cr 0.7567 0.7567 0.7567
Cd 0.0000 0.0000 0.0000
Ir 0.5000 0.5000 0.5000

Results
formation energy from the elements	1.346	eV per formula unit
V	14.56	Å³ per atom
calculated density	11.649	g/cm3
N(E_F)	4.02	states/eV/f.u.

---

4.
CrCdIr4 after structural relaxation. Source: Alexandria, functional PBE.

Unit cell a=5.2127 b=5.2127 c=5.2127 alpha=60.00 beta=60.00 gamma=60.00
Sites, in units of the cell vectors:
Cr 0.0000 0.0000 0.0000
Cd 0.2500 0.2500 0.2500
Ir 0.1246 0.6251 0.6251
Ir 0.6251 0.1246 0.6251
Ir 0.6251 0.6251 0.1246
Ir 0.6251 0.6251 0.6251

Results
formation energy from the elements	1.935	eV per formula unit
V	16.69	Å³ per atom
calculated density	15.474	g/cm3
N(E_F)	9.20	states/eV/f.u.